[1]
Below is a relaxed structure of Ca4NdHo3Te8, with properties calculated at the PBE level.

## Properties
**D(E_F)**: 0.381 states/eV per atom
**Uncorrected energy**: -74.92 eV per formula unit
**Crystal system**: trigonal
**Total magnetic moment**: 0.000 Bohr magnetons per cell
**Formation energy without anion corrections**: -1455.0 meV/atom

Unit cell a=8.808 b=8.937 c=8.808 alpha=119.53 beta=120.00 gamma=90.00
Fractional coordinates of all 16 atoms:
Ca1 0.500 0.000 0.500
Ca2 0.000 0.000 0.000
Ca3 0.000 0.000 0.500
Ca4 0.500 0.000 0.000
Te1 0.748 0.252 0.005
Te2 0.252 0.257 0.505
Te3 0.257 0.252 0.005
Te4 0.743 0.748 0.995
Te5 0.748 0.743 0.495
Te6 0.747 0.253 0.495
Te7 0.252 0.748 0.995
Te8 0.253 0.747 0.505
Nd1 0.000 0.500 0.000
Ho1 0.500 0.500 0.500
Ho2 0.000 0.500 0.500
Ho3 0.500 0.500 0.000

---

[2]
Below is a relaxed structure of CaNd2Ho3Te6, with properties calculated at the PBE level.

## Properties
**D(E_F)**: 0.494 states/eV per atom
**Uncorrected energy**: -60.65 eV per formula unit
**Crystal system**: monoclinic
**Total magnetic moment**: 0.000 Bohr magnetons per cell
**Formation energy without anion corrections**: -1377.1 meV/atom

Unit cell a=4.394 b=8.879 c=9.909 alpha=103.41 beta=102.81 gamma=90.00
Fractional coordinates of all 12 atoms:
Nd1 0.173 0.344 0.346
Nd2 0.827 0.656 0.654
Te1 0.666 0.074 0.333
Te2 0.998 0.253 0.996
Te3 0.334 0.926 0.667
Te4 0.661 0.590 0.321
Te5 0.339 0.410 0.679
Te6 0.002 0.747 0.004
Ho1 0.500 0.500 0.000
Ho2 0.830 0.171 0.660
Ho3 0.170 0.829 0.340
Ca1 0.500 0.000 0.000

---

[3]
Below is a relaxed structure of Ca2Nd3HoTe6, with properties calculated at the PBE level.

## Properties
**D(E_F)**: 0.496 states/eV per atom
**Uncorrected energy**: -59.20 eV per formula unit
**Crystal system**: monoclinic
**Total magnetic moment**: 0.000 Bohr magnetons per cell
**Formation energy without anion corrections**: -1455.2 meV/atom

Unit cell a=7.662 b=7.662 c=7.875 alpha=99.35 beta=99.35 gamma=120.04
Fractional coordinates of all 12 atoms:
Te1 0.079 0.408 0.238
Te2 0.921 0.592 0.762
Te3 0.754 0.754 0.246
Te4 0.246 0.246 0.754
Te5 0.592 0.921 0.762
Te6 0.408 0.079 0.238
Ca1 0.666 0.334 0.000
Ca2 0.334 0.666 0.000
Ho1 0.000 0.000 0.000
Nd1 0.500 0.500 0.500
Nd2 0.827 0.173 0.500
Nd3 0.173 0.827 0.500

---

[4]
Below is a relaxed structure of Ca3Nd3HoTe8, with properties calculated at the PBE level.

## Properties
**D(E_F)**: 0.311 states/eV per atom
**Uncorrected energy**: -72.74 eV per formula unit
**Crystal system**: trigonal
**Total magnetic moment**: 0.000 Bohr magnetons per cell
**Formation energy without anion corrections**: -1514.5 meV/atom

Unit cell a=8.917 b=8.916 c=9.025 alpha=119.59 beta=90.00 gamma=120.01
Fractional coordinates of all 15 atoms:
Te1 0.752 0.503 0.755
Te2 0.245 0.999 0.253
Te3 0.246 0.492 0.747
Te4 0.246 0.001 0.747
Te5 0.754 0.999 0.253
Te6 0.248 0.497 0.245
Te7 0.755 0.001 0.747
Te8 0.754 0.508 0.253
Nd1 0.500 0.000 0.500
Nd2 0.000 0.500 0.500
Nd3 0.500 0.500 0.500
Ho1 0.000 0.000 0.500
Ca1 0.000 0.500 0.000
Ca2 0.500 0.500 0.000
Ca3 0.000 0.000 0.000

---

[5]
Below is a relaxed structure of Ca3Nd2HoTe6, with properties calculated at the PBE level.

## Properties
**D(E_F)**: 0.428 states/eV per atom
**Uncorrected energy**: -56.82 eV per formula unit
**Crystal system**: monoclinic
**Total magnetic moment**: 0.000 Bohr magnetons per cell
**Formation energy without anion corrections**: -1487.9 meV/atom

Unit cell a=7.685 b=7.685 c=7.844 alpha=99.43 beta=99.43 gamma=119.92
Fractional coordinates of all 12 atoms:
Nd1 0.335 0.665 0.000
Nd2 0.665 0.335 0.000
Ca1 0.500 0.500 0.500
Ca2 0.170 0.830 0.500
Ca3 0.830 0.170 0.500
Te1 0.760 0.760 0.253
Te2 0.917 0.592 0.750
Te3 0.408 0.083 0.250
Te4 0.592 0.917 0.750
Te5 0.083 0.408 0.250
Te6 0.240 0.240 0.747
Ho1 0.000 0.000 0.000

---

[6]
Below is a relaxed structure of CaNdHoTh, with properties calculated at the PBE level.

## Properties
**D(E_F)**: 2.101 states/eV per atom
**Uncorrected energy**: -17.85 eV per formula unit
**Crystal system**: cubic
**Total magnetic moment**: 0.467 Bohr magnetons per cell
**Energy relative to the elements**: 0.229 eV per atom

Unit cell a=5.783 b=5.783 c=5.783 alpha=60.00 beta=60.00 gamma=60.00
Fractional coordinates of all 4 atoms:
Ca1 0.250 0.250 0.250
Ho1 0.000 0.000 0.000
Th1 0.750 0.750 0.750
Nd1 0.500 0.500 0.500

---

[7]
Below is a relaxed structure of CaNd2HoTl4, with properties calculated at the PBE level.

## Properties
**D(E_F)**: 0.661 states/eV per atom
**Uncorrected energy**: -28.61 eV per formula unit
**Crystal system**: trigonal
**Total magnetic moment**: 0.000 Bohr magnetons per cell
**Energy relative to the elements**: -0.379 eV per atom

Unit cell a=5.466 b=5.466 c=9.505 alpha=73.29 beta=73.29 gamma=60.00
Fractional coordinates of all 8 atoms:
Ho1 0.500 0.500 0.500
Nd1 0.254 0.254 0.239
Nd2 0.746 0.746 0.761
Tl1 0.872 0.872 0.383
Tl2 0.128 0.128 0.617
Tl3 0.622 0.622 0.134
Tl4 0.378 0.378 0.866
Ca1 0.000 0.000 0.000

---

[8]
Below is a relaxed structure of CaNdHoTm, with properties calculated at the PBE level.

## Properties
**D(E_F)**: 1.588 states/eV per atom
**Uncorrected energy**: -15.26 eV per formula unit
**Crystal system**: cubic
**Total magnetic moment**: 0.000 Bohr magnetons per cell
**Energy relative to the elements**: 0.139 eV per atom

Unit cell a=5.759 b=5.759 c=5.759 alpha=60.00 beta=60.00 gamma=60.00
Fractional coordinates of all 4 atoms:
Nd1 0.500 0.500 0.500
Tm1 0.750 0.750 0.750
Ca1 0.250 0.250 0.250
Ho1 0.000 0.000 0.000

---

[9]
Below is a relaxed structure of CaNdYHo, with properties calculated at the PBE level.

## Properties
**D(E_F)**: 1.667 states/eV per atom
**Uncorrected energy**: -17.27 eV per formula unit
**Crystal system**: cubic
**Total magnetic moment**: 0.000 Bohr magnetons per cell
**Energy relative to the elements**: 0.135 eV per atom

Unit cell a=5.798 b=5.798 c=5.798 alpha=60.00 beta=60.00 gamma=60.00
Fractional coordinates of all 4 atoms:
Y1 0.750 0.750 0.750
Ca1 0.500 0.500 0.500
Ho1 0.000 0.000 0.000
Nd1 0.250 0.250 0.250

---

[10]
Below is a relaxed structure of CaNd6Y2Ho, with properties calculated at the PBE level.

## Properties
**D(E_F)**: 1.569 states/eV per atom
**Uncorrected energy**: -46.76 eV per formula unit
**Crystal system**: monoclinic
**Total magnetic moment**: 0.000 Bohr magnetons per cell
**Energy relative to the elements**: 0.136 eV per atom

Unit cell a=9.845 b=9.053 c=9.053 alpha=118.39 beta=94.05 gamma=94.05
Fractional coordinates of all 20 atoms:
Nd1 0.322 0.974 0.431
Nd2 0.178 0.569 0.026
Nd3 0.378 0.506 0.288
Nd4 0.446 0.234 0.887
Nd5 0.822 0.431 0.974
Nd6 0.946 0.887 0.234
Nd7 0.054 0.113 0.766
Nd8 0.678 0.026 0.569
Nd9 0.122 0.712 0.494
Nd10 0.878 0.288 0.506
Nd11 0.554 0.766 0.113
Nd12 0.622 0.494 0.712
Y1 0.956 0.704 0.800
Y2 0.456 0.800 0.704
Y3 0.544 0.200 0.296
Y4 0.044 0.296 0.200
Ho1 0.250 0.971 0.029
Ho2 0.750 0.029 0.971
Ca1 0.250 0.403 0.597
Ca2 0.750 0.597 0.403

---

[11]
Below is a relaxed structure of CaNd6Y2Ho3, with properties calculated at the PBE level.

## Properties
**D(E_F)**: 1.133 states/eV per atom
**Uncorrected energy**: -56.91 eV per formula unit
**Crystal system**: monoclinic
**Total magnetic moment**: 0.000 Bohr magnetons per cell
**Energy relative to the elements**: 0.030 eV per atom

Unit cell a=6.313 b=6.313 c=11.938 alpha=95.02 beta=95.02 gamma=119.98
Fractional coordinates of all 12 atoms:
Ca1 0.000 0.000 0.000
Y1 0.333 0.667 0.000
Y2 0.667 0.333 0.000
Ho1 0.500 0.500 0.500
Ho2 0.833 0.167 0.500
Ho3 0.167 0.833 0.500
Nd1 0.914 0.575 0.746
Nd2 0.254 0.254 0.745
Nd3 0.086 0.425 0.254
Nd4 0.425 0.086 0.254
Nd5 0.746 0.746 0.255
Nd6 0.575 0.914 0.746

---

[12]
Below is a relaxed structure of CaNd6YHo2, with properties calculated at the PBE level.

## Properties
**D(E_F)**: 1.512 states/eV per atom
**Uncorrected energy**: -44.92 eV per formula unit
**Crystal system**: monoclinic
**Total magnetic moment**: 0.000 Bohr magnetons per cell
**Energy relative to the elements**: 0.131 eV per atom

Unit cell a=9.885 b=9.040 c=9.040 alpha=118.76 beta=94.28 gamma=94.28
Fractional coordinates of all 20 atoms:
Nd1 0.322 0.972 0.432
Nd2 0.948 0.884 0.236
Nd3 0.822 0.432 0.972
Nd4 0.052 0.116 0.764
Nd5 0.678 0.028 0.568
Nd6 0.377 0.498 0.288
Nd7 0.552 0.764 0.116
Nd8 0.123 0.712 0.502
Nd9 0.623 0.502 0.712
Nd10 0.877 0.288 0.498
Nd11 0.178 0.568 0.028
Nd12 0.448 0.236 0.884
Ca1 0.750 0.598 0.402
Ca2 0.250 0.402 0.598
Y1 0.750 0.026 0.974
Y2 0.250 0.974 0.026
Ho1 0.543 0.198 0.300
Ho2 0.957 0.700 0.802
Ho3 0.457 0.802 0.700
Ho4 0.043 0.300 0.198

---

Which of these has the lowest D(E_F)?
Ca3Nd3HoTe8